Record 1
RbIn3Te3 | GGA-PBE | optimized geometry

a b c (Å): 9.604 9.604 9.604
angles (deg): 58.06 58.06 58.06
Sites, in units of the cell vectors:
1 Rb 0.166 0.166 0.166
2 Rb 0.834 0.834 0.834
3 In 0.064 0.711 0.383
4 In 0.289 0.617 0.936
5 In 0.383 0.064 0.711
6 In 0.617 0.936 0.289
7 In 0.711 0.383 0.064
8 In 0.936 0.289 0.617
9 Te 0.064 0.409 0.748
10 Te 0.252 0.936 0.591
11 Te 0.409 0.748 0.064
12 Te 0.591 0.252 0.936
13 Te 0.748 0.064 0.409
14 Te 0.936 0.591 0.252

Its crystal system is trigonal. For the magnetic moment, the calculation gives 0.000 Bohr magnetons per cell.

Record 2
Rb2InTe2 | GGA-PBE | optimized geometry

a b c (Å): 8.830 8.830 5.333
angles (deg): 90.00 90.00 90.00
Sites, in units of the cell vectors:
1 Rb 0.137 0.363 0.000
2 Rb 0.363 0.863 0.000
3 Rb 0.637 0.137 0.000
4 Rb 0.863 0.637 0.000
5 In 0.000 0.000 0.500
6 In 0.500 0.500 0.500
7 Te 0.179 0.679 0.500
8 Te 0.321 0.179 0.500
9 Te 0.679 0.821 0.500
10 Te 0.821 0.321 0.500

Its crystal system is tetragonal. For the magnetic moment, the calculation gives 0.000 Bohr magnetons per cell. For the excess energy over the best structure of this formula in the dataset, the calculation gives 220 meV per atom.

Record 3
RbInTe2 | GGA-PBE | optimized geometry

a b c (Å): 4.485 4.485 15.673
angles (deg): 90.00 90.00 90.00
Sites, in units of the cell vectors:
1 Rb 0.000 0.000 0.000
2 Rb 0.500 0.500 0.500
3 In 0.000 0.500 0.750
4 In 0.500 0.000 0.250
5 Te 0.000 0.000 0.362
6 Te 0.000 0.000 0.638
7 Te 0.500 0.500 0.138
8 Te 0.500 0.500 0.862

Its crystal system is tetragonal. For the magnetic moment, the calculation gives 0.000 Bohr magnetons per cell.

Respective volume values: 598.4; 415.8; 315.3 Å³ per cell.
Respective E values: -3.015; -2.770; -3.163 eV/atom.